DFT (PBE) results for a relaxed NaCa5Sn3 crystal.

Geometry as CIF:
```
data_NaCa5Sn3
_chemical_formula_sum 'Na2 Ca10 Sn6'
_space_group_name_H-M_alt 'P 63/m c m'
_space_group_IT_number 193
_space_group_name_Hall '-P 6c 2'
_cell_length_a 9.4464
_cell_length_b 9.4464
_cell_length_c 7.0115
_cell_angle_alpha 90.00
_cell_angle_beta 90.00
_cell_angle_gamma 120.00
loop_
_atom_site_label
_atom_site_type_symbol
_atom_site_fract_x
_atom_site_fract_y
_atom_site_fract_z
_atom_site_occupancy
Na1 Na 0.0000 0.0000 0.0000 1
Ca1 Ca 0.0000 0.3141 0.2500 1
Ca2 Ca 0.3333 0.6667 0.0000 1
Sn1 Sn 0.0000 0.3516 0.7500 1
```

Computed properties:
E_form ... -567 meV/atom
N(E_F) ... 7.62 states/eV/f.u.